Crystalline KPaCu2O6 at its relaxed geometry. Source: the Alexandria database, functional PBE.

Its magnetization is 0.0000 μB/atom. The density of states at the Fermi level comes out at 4.47 states/eV/cell. Its crystal system is monoclinic. As for the total energy: -6.505 eV/atom. For the raw formation energy, the calculation gives -1.65 eV/atom.

```
KPaCu2O6
1.0
5.822 -3.952 0.000
5.822 3.952 0.000
-2.258 0.000 6.229
K Pa Cu O
2 2 4 12
direct
0.115 0.885 0.750
0.885 0.115 0.250
0.374 0.626 0.250
0.626 0.374 0.750
0.167 0.339 0.785
0.339 0.167 0.285
0.661 0.833 0.715
0.833 0.661 0.215
0.076 0.731 0.331
0.193 0.336 0.076
0.269 0.924 0.169
0.323 0.518 0.879
0.336 0.193 0.576
0.482 0.677 0.621
0.518 0.323 0.379
0.664 0.807 0.424
0.677 0.482 0.121
0.731 0.076 0.831
0.807 0.664 0.924
0.924 0.269 0.669
```